# AcHgRh

A relaxed structure of AcHgRh (GGA-PBE, Alexandria via LeMat-Bulk).

Geometry as POSCAR:
```
AcHgRh
1.0
3.6879 0.0000 0.0000
0.0000 3.6879 0.0000
0.0000 0.0000 11.0689
Ac Hg Rh
2 2 2
direct
0.0000 0.0000 0.0000
0.5000 0.5000 0.5000
0.0000 0.0000 0.2917
0.5000 0.5000 0.7917
0.0000 0.0000 0.6546
0.5000 0.5000 0.1546
```

Values from the calculation:
energy above the most stable polymorph in this dataset = 272 meV/atom
formation energy from the elements = -94 kJ/mol of formula units
raw total energy = -4.244 eV/atom


# InRh4

A relaxed structure of InRh4 (GGA-PBE, Alexandria via LeMat-Bulk).

Geometry as POSCAR:
```
InRh4
1.0
3.6415 0.0000 0.0000
0.0000 3.6415 0.0000
0.0000 0.0000 12.7012
In Rh
2 8
direct
0.0000 0.0000 0.0000
0.5000 0.5000 0.5000
0.0000 0.0000 0.4003
0.0000 0.0000 0.5997
0.0000 0.5000 0.2500
0.0000 0.5000 0.7500
0.5000 0.0000 0.2500
0.5000 0.0000 0.7500
0.5000 0.5000 0.0997
0.5000 0.5000 0.9003
```

Values from the calculation:
energy above the most stable polymorph in this dataset = 0 meV/atom
formation energy from the elements = 77 kJ/mol of formula units
raw total energy = -6.269 eV/atom


# Dy3YHo8

A relaxed structure of Dy3YHo8 (GGA-PBE, Alexandria via LeMat-Bulk).

Geometry as POSCAR:
```
Dy3YHo8
1.0
-3.8269 3.8269 7.6627
3.8269 -3.8269 7.6627
3.8269 3.8269 -7.6627
Dy Y Ho
3 1 8
direct
0.0000 0.0000 0.0000
0.2500 0.7500 0.5000
0.7500 0.2500 0.5000
0.5000 0.5000 0.0000
0.1234 0.1234 0.4979
0.1234 0.6255 0.0000
0.3745 0.3745 0.4979
0.3745 0.8766 0.0000
0.6255 0.1234 0.0000
0.6255 0.6255 0.5021
0.8766 0.3745 0.0000
0.8766 0.8766 0.5021
```

Values from the calculation:
formation energy from the elements = 855 kJ/mol of formula units
raw total energy = -4.003 eV/atom


# NaSnH

A relaxed structure of NaSnH (GGA-PBE, Alexandria via LeMat-Bulk).

Geometry as POSCAR:
```
NaSnH
1.0
8.1313 0.0000 0.0000
0.0000 5.0134 0.0000
-2.6191 0.0000 6.0746
Na Sn H
4 4 4
direct
0.1233 0.0000 0.3378
0.3767 0.5000 0.6622
0.6233 0.5000 0.3378
0.8767 0.0000 0.6622
0.2008 0.5000 0.0963
0.2992 0.0000 0.9037
0.7008 0.0000 0.0963
0.7992 0.5000 0.9037
0.0099 0.5000 0.5619
0.4901 0.0000 0.4381
0.5099 0.0000 0.5619
0.9901 0.5000 0.4381
```

Values from the calculation:
energy above the most stable polymorph in this dataset = 24 meV/atom
raw total energy = -2.980 eV/atom


raw total energy of number 3 (Dy3YHo8)?
-4.003 eV/atom